# 1
First-principles (GGA-PBE) data for MnHgI3 after structural relaxation, as listed in Alexandria.

Results
Volume, Å³ per atom: 33.58
D(E_F), states/eV/cell: 13.15
Total energy, eV per atom: -2.9998
Energy above the lowest structure with this stoichiometry, meV/atom: 171
Density, g/cm3: 6.29

The structure in CIF format:
```
data_MnHgI3
_chemical_formula_sum 'Mn4 Hg4 I12'
_cell_length_a 7.9370
_cell_length_b 11.2382
_cell_length_c 7.5283
_cell_angle_alpha 90.00
_cell_angle_beta 90.00
_cell_angle_gamma 90.00
_symmetry_space_group_name_H-M 'P n m a'
_symmetry_Int_Tables_number 62
loop_
_symmetry_equiv_pos_as_xyz
'x,y,z'
'-x,-y,-z'
'-x+1/2,-y,z+1/2'
'x+1/2,y,-z+1/2'
'x+1/2,-y+1/2,-z+1/2'
'-x+1/2,y+1/2,z+1/2'
'-x,y+1/2,-z'
'x,-y+1/2,z'
loop_
_atom_site_label
_atom_site_type_symbol
_atom_site_fract_x
_atom_site_fract_y
_atom_site_fract_z
_atom_site_occupancy
Mn1 Mn 0.0000 0.0000 0.0000 1
Hg1 Hg 0.0836 0.2500 0.4683 1
I1 I 0.0421 0.7500 0.1238 1
I2 I 0.1898 0.5566 0.6804 1
```

***

# 2
First-principles (GGA-PBE) data for ZrInNiRu after structural relaxation, as listed in Alexandria.

Results
Volume, Å³ per atom: 16.71
D(E_F), states/eV/cell: 14.64
Calculated formation energy, eV per atom: -0.342
Total energy, eV per atom: -6.9279
Density, g/cm3: 9.09

The structure in CIF format:
```
data_ZrInNiRu
_chemical_formula_sum 'Zr4 In4 Ni4 Ru4'
_cell_length_a 6.4422
_cell_length_b 6.4422
_cell_length_c 6.4422
_cell_angle_alpha 90.00
_cell_angle_beta 90.00
_cell_angle_gamma 90.00
_symmetry_space_group_name_H-M 'F -4 3 m'
_symmetry_Int_Tables_number 216
_symmetry_space_group_name_Hall 'F -4 2 3'
loop_
_atom_site_label
_atom_site_type_symbol
_atom_site_fract_x
_atom_site_fract_y
_atom_site_fract_z
_atom_site_occupancy
Zr1 Zr 0.0000 0.0000 0.0000 1
In1 In 0.0000 0.0000 0.5000 1
Ni1 Ni 0.2500 0.2500 0.2500 1
Ru1 Ru 0.2500 0.2500 0.7500 1
```

***

# 3
First-principles (GGA-PBE) data for Eu2MgIr after structural relaxation, as listed in Alexandria.

Results
Volume, Å³ per atom: 26.82
D(E_F), states/eV/cell: 9.06
Calculated formation energy, eV per atom: -0.213
Total energy, eV per atom: -7.9640
Energy above the lowest structure with this stoichiometry, meV/atom: 0
Density, g/cm3: 8.06

The structure in CIF format:
```
data_Eu2MgIr
_chemical_formula_sum 'Eu2 Mg1 Ir1'
_cell_length_a 3.5795
_cell_length_b 3.5795
_cell_length_c 8.3715
_cell_angle_alpha 90.00
_cell_angle_beta 90.00
_cell_angle_gamma 90.00
_symmetry_space_group_name_H-M 'P 4/m m m'
_symmetry_Int_Tables_number 123
_symmetry_space_group_name_Hall '-P 4 2'
loop_
_atom_site_label
_atom_site_type_symbol
_atom_site_fract_x
_atom_site_fract_y
_atom_site_fract_z
_atom_site_occupancy
Eu1 Eu 0.0000 0.0000 0.1998 1
Mg1 Mg 0.5000 0.5000 0.5000 1
Ir1 Ir 0.5000 0.5000 0.0000 1
```

***

# 4
First-principles (GGA-PBE) data for K3YTl after structural relaxation, as listed in Alexandria.

Results
Volume, Å³ per atom: 70.54
D(E_F), states/eV/cell: 30.00
Calculated formation energy, eV per atom: 0.919
Total energy, eV per atom: -1.5051
Energy above the lowest structure with this stoichiometry, meV/atom: 289
Density, g/cm3: 1.93

The structure in CIF format:
```
data_K3YTl
_chemical_formula_sum 'K3 Y1 Tl1'
_cell_length_a 7.0653
_cell_length_b 7.0653
_cell_length_c 7.0653
_cell_angle_alpha 90.00
_cell_angle_beta 90.00
_cell_angle_gamma 90.00
_symmetry_space_group_name_H-M 'P m -3 m'
_symmetry_Int_Tables_number 221
_symmetry_space_group_name_Hall '-P 4 2 3'
loop_
_atom_site_label
_atom_site_type_symbol
_atom_site_fract_x
_atom_site_fract_y
_atom_site_fract_z
_atom_site_occupancy
K1 K 0.0000 0.0000 0.5000 1
Y1 Y 0.0000 0.0000 0.0000 1
Tl1 Tl 0.5000 0.5000 0.5000 1
```

***

# 5
First-principles (GGA-PBE) data for Pm6Sm4Dy after structural relaxation, as listed in Alexandria.

Results
Volume, Å³ per atom: 35.71
D(E_F), states/eV/cell: 26.01
Calculated formation energy, eV per atom: 0.373
Total energy, eV per atom: -4.3522
Energy above the lowest structure with this stoichiometry, meV/atom: 88
Density, g/cm3: 6.91

The structure in CIF format:
```
data_Pm6Sm4Dy
_chemical_formula_sum 'Pm12 Sm8 Dy2'
_cell_length_a 7.5967
_cell_length_b 7.5967
_cell_length_c 13.6124
_cell_angle_alpha 90.00
_cell_angle_beta 90.00
_cell_angle_gamma 90.00
_symmetry_space_group_name_H-M 'I -4 2 m'
_symmetry_Int_Tables_number 121
_symmetry_space_group_name_Hall 'I -4 2'
loop_
_atom_site_label
_atom_site_type_symbol
_atom_site_fract_x
_atom_site_fract_y
_atom_site_fract_z
_atom_site_occupancy
Pm1 Pm 0.0000 0.5000 0.0000 1
Pm2 Pm 0.2264 0.2264 0.1875 1
Sm1 Sm 0.1704 0.1704 0.4199 1
Dy1 Dy 0.0000 0.0000 0.0000 1
```

***

# 6
First-principles (GGA-PBE) data for Hg2SbIr after structural relaxation, as listed in Alexandria.

Results
Volume, Å³ per atom: 20.99
D(E_F), states/eV/cell: 2.24
Total energy, eV per atom: -2.9134
Density, g/cm3: 14.15

The structure in CIF format:
```
data_Hg2SbIr
_chemical_formula_sum 'Hg2 Sb1 Ir1'
_cell_length_a 4.0500
_cell_length_b 4.0500
_cell_length_c 5.1178
_cell_angle_alpha 90.00
_cell_angle_beta 90.00
_cell_angle_gamma 90.00
_symmetry_space_group_name_H-M 'P 4/m m m'
_symmetry_Int_Tables_number 123
_symmetry_space_group_name_Hall '-P 4 2'
loop_
_atom_site_label
_atom_site_type_symbol
_atom_site_fract_x
_atom_site_fract_y
_atom_site_fract_z
_atom_site_occupancy
Hg1 Hg 0.0000 0.5000 0.0000 1
Sb1 Sb 0.0000 0.0000 0.5000 1
Ir1 Ir 0.5000 0.5000 0.5000 1
```

***

# 7
First-principles (GGA-PBE) data for YHg after structural relaxation, as listed in Alexandria.

Results
Volume, Å³ per atom: 29.46
D(E_F), states/eV/cell: 18.97
Calculated formation energy, eV per atom: -0.145
Total energy, eV per atom: -3.5279
Density, g/cm3: 8.16

The structure in CIF format:
```
data_YHg
_chemical_formula_sum 'Y8 Hg8'
_cell_length_a 11.4352
_cell_length_b 11.4352
_cell_length_c 3.6049
_cell_angle_alpha 90.00
_cell_angle_beta 90.00
_cell_angle_gamma 90.00
_symmetry_space_group_name_H-M 'I 4/m'
_symmetry_Int_Tables_number 87
_symmetry_space_group_name_Hall '-I 4'
loop_
_atom_site_label
_atom_site_type_symbol
_atom_site_fract_x
_atom_site_fract_y
_atom_site_fract_z
_atom_site_occupancy
Y1 Y 0.1212 0.6457 0.0000 1
Hg1 Hg 0.0775 0.1652 0.0000 1
```

***

# 8
First-principles (GGA-PBE) data for CsK2AuSe2 after structural relaxation, as listed in Alexandria.

Results
Volume, Å³ per atom: 42.45
D(E_F), states/eV/cell: 0.00
Total energy, eV per atom: -3.1470
Density, g/cm3: 3.69

The structure in CIF format:
```
data_CsK2AuSe2
_chemical_formula_sum 'Cs2 K4 Au2 Se4'
_cell_length_a 5.5778
_cell_length_b 5.5778
_cell_length_c 16.3724
_cell_angle_alpha 90.00
_cell_angle_beta 90.00
_cell_angle_gamma 90.00
_symmetry_space_group_name_H-M 'I 4/m m m'
_symmetry_Int_Tables_number 139
_symmetry_space_group_name_Hall '-I 4 2'
loop_
_atom_site_label
_atom_site_type_symbol
_atom_site_fract_x
_atom_site_fract_y
_atom_site_fract_z
_atom_site_occupancy
Cs1 Cs 0.0000 0.0000 0.0000 1
K1 K 0.0000 0.5000 0.2500 1
Au1 Au 0.0000 0.0000 0.5000 1
Se1 Se 0.0000 0.0000 0.3512 1
```